The following is a DFT calculation (GGA-PBE) of a relaxed structure of La2YMg3Ir2Pt.

Calculated values
final energy = -51.483 eV/f.u.
symmetry = Amm2 (38)
crystal system = orthorhombic
total magnetic moment = 0.00 μB/cell

Cell: 4.110 7.507 7.507 Å, 120.52 90.00 90.00°
Positions (direct):
La1 0.000 0.209 0.791
La2 0.000 0.791 0.209
Y1 0.000 0.621 0.621
Mg1 0.500 0.216 0.453
Mg2 0.500 0.453 0.216
Mg3 0.500 0.962 0.962
Ir1 0.500 0.547 0.875
Ir2 0.500 0.875 0.547
Pt1 0.000 0.217 0.217